DFT (GGA-PBE) results for crystalline Rb2TcO at its relaxed geometry.

Properties
The volume comes out at 284.8 Å³ per cell. As for the crystal system: tetragonal. The calculated total energy comes out at -4.4430 eV per atom. The energy relative to the elements, uncorrected comes out at -0.128 eV/atom.

Cell: 12.2622 12.2622 8.8751 Å, 46.30 46.30 90.00°
Atoms (fractional coordinates):
Rb1 0.4230 0.1250 0.2500
O1 0.2500 0.7500 0.5000
Rb2 0.3750 0.5770 0.7500
Tc1 0.0000 0.0000 0.0000
Rb3 0.3270 0.6250 0.2500
Rb4 0.8750 0.6730 0.7500
O2 0.5000 0.5000 0.0000
Tc2 0.7500 0.2500 0.5000